(1)
VASP calculation (PBE) on Zn3Au8 after structural relaxation.

## Properties
M_tot	0.000	μB per formula unit
formation energy	-1.47	eV per formula unit
V	188.7	Å³/cell

a = 3.7336 Å, b = 5.2014 Å, c = 10.8876 Å
α = 105.82°, β = 90.00°, γ = 111.03°
Closest atoms and distances in Å follow each position.
Atoms (fractional coordinates):
Au 0.3756 0.7512 0.5469  4 Zn 2.77-2.82, 7 Au 2.88-3.00
Au 0.7100 0.4200 0.0833  2 Zn 2.72, 8 Au 2.86-2.99
Au 0.8016 0.6033 0.7211  2 Zn 2.72, 8 Au 2.86-2.96
Au 0.6244 0.2488 0.4531  4 Zn 2.77-2.82, 7 Au 2.88-3.00
Au 0.2900 0.5800 0.9167  2 Zn 2.72, 8 Au 2.86-2.99
Au 0.4560 0.9120 0.1856  4 Zn 2.82-2.87, 8 Au 2.89-2.99
Au 0.5440 0.0880 0.8144  4 Zn 2.82-2.87, 8 Au 2.89-2.99
Au 0.1984 0.3967 0.2789  2 Zn 2.72, 8 Au 2.86-2.96
Zn 0.0918 0.1836 0.6366  8 Au 2.72-2.82, 1 Zn 2.99
Zn 0.9082 0.8164 0.3634  8 Au 2.72-2.82, 1 Zn 2.99
Zn 0.0000 0.0000 0.0000  8 Au 2.72-2.87

---

(2)
VASP calculation (PBE) on RbBe2Br after structural relaxation.

## Properties
total energy	-14.02	eV for the cell shown
M_tot	0.000	μB per formula unit
V	222.9	Å³/cell

a = 8.6263 Å, b = 8.6263 Å, c = 6.7954 Å
α = 50.60°, β = 50.60°, γ = 90.00°
Closest atoms and distances in Å follow each position.
Atoms (fractional coordinates):
Be 0.8750 0.8329 0.7500  2 Br 2.90, 2 Be 3.08
Be 0.5829 0.1250 0.2500  2 Br 2.90, 2 Be 3.08
Be 0.3750 0.4171 0.7500  2 Br 2.90, 2 Be 3.08
Be 0.1671 0.6250 0.2500  2 Br 2.90, 2 Be 3.08
Rb 0.0000 0.0000 0.0000  2 Br 3.00
Rb 0.7500 0.2500 0.5000  2 Br 3.00
Br 0.5000 0.5000 0.0000  4 Be 2.90, 2 Rb 3.00
Br 0.2500 0.7500 0.5000  4 Be 2.90, 2 Rb 3.00